# 1
# CdSbPt2 | Alexandria via LeMat-Bulk | GGA-PBE | relaxed
data_CdSbPt2
_cell_length_a 6.683
_cell_length_b 6.683
_cell_length_c 6.683
_cell_angle_alpha 90.00
_cell_angle_beta 90.00
_cell_angle_gamma 90.00
_space_group_name_H-M_alt 'F m -3 m'
_space_group_IT_number 225
_space_group_name_Hall '-F 4 2 3'
loop_
_atom_site_label
_atom_site_type_symbol
_atom_site_fract_x
_atom_site_fract_y
_atom_site_fract_z
Cd1 Cd 0.000 0.000 0.000
Sb1 Sb 0.000 0.000 0.500
Pt1 Pt 0.250 0.250 0.250
# Distance to the lowest polymorph of the same formula in kcal/mol of atoms: 3.91
# Total magnetization in Bohr magnetons per cell: 0.00

***

# 2
# Cd2SbPt | Alexandria via LeMat-Bulk | GGA-PBE | relaxed
data_Cd2SbPt
_cell_length_a 6.961
_cell_length_b 6.961
_cell_length_c 6.961
_cell_angle_alpha 90.00
_cell_angle_beta 90.00
_cell_angle_gamma 90.00
_space_group_name_H-M_alt 'F -4 3 m'
_space_group_IT_number 216
_space_group_name_Hall 'F -4 2 3'
loop_
_atom_site_label
_atom_site_type_symbol
_atom_site_fract_x
_atom_site_fract_y
_atom_site_fract_z
Cd1 Cd 0.000 0.000 0.000
Cd2 Cd 0.250 0.250 0.250
Sb1 Sb 0.250 0.250 0.750
Pt1 Pt 0.000 0.000 0.500
# Total magnetization in Bohr magnetons per cell: 0.00

***

# 3
# CdSb2Pt9 | Alexandria via LeMat-Bulk | GGA-PBE | relaxed
data_CdSb2Pt9
_cell_length_a 4.070
_cell_length_b 4.070
_cell_length_c 12.184
_cell_angle_alpha 90.00
_cell_angle_beta 90.00
_cell_angle_gamma 90.00
_space_group_name_H-M_alt 'P 4/m m m'
_space_group_IT_number 123
_space_group_name_Hall '-P 4 2'
loop_
_atom_site_label
_atom_site_type_symbol
_atom_site_fract_x
_atom_site_fract_y
_atom_site_fract_z
Cd1 Cd 0.000 0.000 0.000
Sb1 Sb 0.000 0.000 0.323
Pt1 Pt 0.000 0.500 0.167
Pt2 Pt 0.000 0.500 0.500
Pt3 Pt 0.500 0.500 0.000
Pt4 Pt 0.500 0.500 0.338
# Total magnetization in Bohr magnetons per cell: 0.00

***

# 4
# CdSbPt2 | Alexandria via LeMat-Bulk | GGA-PBE | relaxed
data_CdSbPt2
_cell_length_a 3.601
_cell_length_b 4.303
_cell_length_c 9.895
_cell_angle_alpha 90.00
_cell_angle_beta 90.00
_cell_angle_gamma 90.00
_space_group_name_H-M_alt 'I m m 2'
_space_group_IT_number 44
loop_
_space_group_symop_operation_xyz
'x,y,z'
'-x,-y,z'
'-x,y,z'
'x,-y,z'
'x+1/2,y+1/2,z+1/2'
'-x+1/2,-y+1/2,z+1/2'
'-x+1/2,y+1/2,z+1/2'
'x+1/2,-y+1/2,z+1/2'
loop_
_atom_site_label
_atom_site_type_symbol
_atom_site_fract_x
_atom_site_fract_y
_atom_site_fract_z
Cd1 Cd 0.000 0.000 0.000
Sb1 Sb 0.000 0.500 0.235
Pt1 Pt 0.000 0.000 0.529
Pt2 Pt 0.000 0.500 0.796
# Distance to the lowest polymorph of the same formula in kcal/mol of atoms: 4.48
# Total magnetization in Bohr magnetons per cell: 0.00

***

# 5
# Cd2SbPt | Alexandria via LeMat-Bulk | GGA-PBE | relaxed
data_Cd2SbPt
_cell_length_a 8.227
_cell_length_b 8.227
_cell_length_c 5.502
_cell_angle_alpha 90.00
_cell_angle_beta 90.00
_cell_angle_gamma 90.00
_space_group_name_H-M_alt 'I -4 2 d'
_space_group_IT_number 122
_space_group_name_Hall 'I -4 2bw'
loop_
_atom_site_label
_atom_site_type_symbol
_atom_site_fract_x
_atom_site_fract_y
_atom_site_fract_z
Cd1 Cd 0.211 0.250 0.125
Sb1 Sb 0.000 0.000 0.500
Pt1 Pt 0.000 0.000 0.000
# Total magnetization in Bohr magnetons per cell: 0.00

***

# 6
# Cd2SbPt | Alexandria via LeMat-Bulk | GGA-PBE | relaxed
data_Cd2SbPt
_cell_length_a 5.929
_cell_length_b 8.830
_cell_length_c 3.184
_cell_angle_alpha 90.00
_cell_angle_beta 90.00
_cell_angle_gamma 90.00
_space_group_name_H-M_alt 'C m m m'
_space_group_IT_number 65
_space_group_name_Hall '-C 2 2'
loop_
_atom_site_label
_atom_site_type_symbol
_atom_site_fract_x
_atom_site_fract_y
_atom_site_fract_z
Cd1 Cd 0.250 0.250 0.000
Sb1 Sb 0.000 0.000 0.500
Pt1 Pt 0.000 0.500 0.500
# Total magnetization in Bohr magnetons per cell: 0.00

***

# 7
# Cd2SbPt | Alexandria via LeMat-Bulk | GGA-PBE | relaxed
data_Cd2SbPt
_cell_length_a 3.050
_cell_length_b 4.716
_cell_length_c 12.816
_cell_angle_alpha 90.00
_cell_angle_beta 90.00
_cell_angle_gamma 90.00
_space_group_name_H-M_alt 'I m m 2'
_space_group_IT_number 44
loop_
_space_group_symop_operation_xyz
'x,y,z'
'-x,-y,z'
'-x,y,z'
'x,-y,z'
'x+1/2,y+1/2,z+1/2'
'-x+1/2,-y+1/2,z+1/2'
'-x+1/2,y+1/2,z+1/2'
'x+1/2,-y+1/2,z+1/2'
loop_
_atom_site_label
_atom_site_type_symbol
_atom_site_fract_x
_atom_site_fract_y
_atom_site_fract_z
Cd1 Cd 0.000 0.000 0.000
Cd2 Cd 0.000 0.500 0.174
Sb1 Sb 0.000 0.000 0.373
Pt1 Pt 0.000 0.500 0.692
# Total magnetization in Bohr magnetons per cell: 0.00

***

# 8
# Cd2SbPt9 | Alexandria via LeMat-Bulk | GGA-PBE | relaxed
data_Cd2SbPt9
_cell_length_a 4.044
_cell_length_b 4.044
_cell_length_c 12.214
_cell_angle_alpha 90.00
_cell_angle_beta 90.00
_cell_angle_gamma 90.00
_space_group_name_H-M_alt 'P 4/m m m'
_space_group_IT_number 123
_space_group_name_Hall '-P 4 2'
loop_
_atom_site_label
_atom_site_type_symbol
_atom_site_fract_x
_atom_site_fract_y
_atom_site_fract_z
Cd1 Cd 0.000 0.000 0.164
Sb1 Sb 0.000 0.000 0.500
Pt1 Pt 0.000 0.500 0.000
Pt2 Pt 0.000 0.500 0.332
Pt3 Pt 0.500 0.500 0.166
Pt4 Pt 0.500 0.500 0.500
# Total magnetization in Bohr magnetons per cell: 0.00

***

# 9
# Cd2SbPt | Alexandria via LeMat-Bulk | GGA-PBE | relaxed
data_Cd2SbPt
_cell_length_a 5.030
_cell_length_b 3.687
_cell_length_c 5.961
_cell_angle_alpha 90.00
_cell_angle_beta 109.76
_cell_angle_gamma 90.00
_space_group_name_H-M_alt 'P 1 m 1'
_space_group_IT_number 6
loop_
_space_group_symop_operation_xyz
'x,y,z'
'x,-y,z'
loop_
_atom_site_label
_atom_site_type_symbol
_atom_site_fract_x
_atom_site_fract_y
_atom_site_fract_z
Cd1 Cd 0.000 0.000 0.000
Cd2 Cd 0.379 0.500 0.780
Sb1 Sb 0.751 0.500 0.484
Pt1 Pt 0.567 0.000 0.163
# Total magnetization in Bohr magnetons per cell: 0.00

***

# 10
# CdSbPt2 | Alexandria via LeMat-Bulk | GGA-PBE | relaxed
data_CdSbPt2
_cell_length_a 4.0524
_cell_length_b 4.0524
_cell_length_c 18.9335
_cell_angle_alpha 90.00
_cell_angle_beta 90.00
_cell_angle_gamma 120.00
_space_group_name_H-M_alt 'R 3 m'
_space_group_IT_number 160
_space_group_name_Hall 'R 3 -2"'
loop_
_atom_site_label
_atom_site_type_symbol
_atom_site_fract_x
_atom_site_fract_y
_atom_site_fract_z
Cd1 Cd 0.0000 0.0000 0.0000
Sb1 Sb 0.0000 0.0000 0.2098
Pt1 Pt 0.0000 0.0000 0.4768
Pt2 Pt 0.0000 0.0000 0.7435
# Distance to the lowest polymorph of the same formula in kcal/mol of atoms: 7.17
# Total magnetization in Bohr magnetons per cell: 0.00

***

# 11
# CdSbPt4 | Alexandria via LeMat-Bulk | GGA-PBE | relaxed
data_CdSbPt4
_cell_length_a 7.625
_cell_length_b 7.625
_cell_length_c 7.625
_cell_angle_alpha 90.00
_cell_angle_beta 90.00
_cell_angle_gamma 90.00
_space_group_name_H-M_alt 'F -4 3 m'
_space_group_IT_number 216
_space_group_name_Hall 'F -4 2 3'
loop_
_atom_site_label
_atom_site_type_symbol
_atom_site_fract_x
_atom_site_fract_y
_atom_site_fract_z
Cd1 Cd 0.000 0.000 0.000
Sb1 Sb 0.250 0.250 0.250
Pt1 Pt 0.125 0.125 0.625
# Total magnetization in Bohr magnetons per cell: 0.00

***

# 12
# CdSbPt2 | Alexandria via LeMat-Bulk | GGA-PBE | relaxed
data_CdSbPt2
_cell_length_a 6.711
_cell_length_b 6.711
_cell_length_c 6.711
_cell_angle_alpha 90.00
_cell_angle_beta 90.00
_cell_angle_gamma 90.00
_space_group_name_H-M_alt 'F -4 3 m'
_space_group_IT_number 216
_space_group_name_Hall 'F -4 2 3'
loop_
_atom_site_label
_atom_site_type_symbol
_atom_site_fract_x
_atom_site_fract_y
_atom_site_fract_z
Cd1 Cd 0.000 0.000 0.000
Sb1 Sb 0.250 0.250 0.250
Pt1 Pt 0.000 0.000 0.500
Pt2 Pt 0.250 0.250 0.750
# Distance to the lowest polymorph of the same formula in kcal/mol of atoms: 8.78
# Total magnetization in Bohr magnetons per cell: 0.00

***

# 13
# CdSbPt2 | Alexandria via LeMat-Bulk | GGA-PBE | relaxed
data_CdSbPt2
_cell_length_a 8.331
_cell_length_b 7.242
_cell_length_c 5.554
_cell_angle_alpha 90.00
_cell_angle_beta 90.00
_cell_angle_gamma 90.00
_space_group_name_H-M_alt 'P b c m'
_space_group_IT_number 57
loop_
_space_group_symop_operation_xyz
'x,y,z'
'-x,-y,-z'
'-x,-y,z+1/2'
'x,y,-z+1/2'
'x,-y+1/2,-z'
'-x,y+1/2,z'
'-x,y+1/2,-z+1/2'
'x,-y+1/2,z+1/2'
loop_
_atom_site_label
_atom_site_type_symbol
_atom_site_fract_x
_atom_site_fract_y
_atom_site_fract_z
Cd1 Cd 0.118 0.095 0.250
Sb1 Sb 0.370 0.572 0.250
Pt1 Pt 0.144 0.750 0.000
Pt2 Pt 0.390 0.250 0.000
# Distance to the lowest polymorph of the same formula in kcal/mol of atoms: 0.00
# Total magnetization in Bohr magnetons per cell: 0.00

***

# 14
# CdSbPt3 | Alexandria via LeMat-Bulk | GGA-PBE | relaxed
data_CdSbPt3
_cell_length_a 4.936
_cell_length_b 4.936
_cell_length_c 4.936
_cell_angle_alpha 90.00
_cell_angle_beta 90.00
_cell_angle_gamma 90.00
_space_group_name_H-M_alt 'P m -3 m'
_space_group_IT_number 221
_space_group_name_Hall '-P 4 2 3'
loop_
_atom_site_label
_atom_site_type_symbol
_atom_site_fract_x
_atom_site_fract_y
_atom_site_fract_z
Cd1 Cd 0.000 0.000 0.000
Sb1 Sb 0.500 0.500 0.500
Pt1 Pt 0.000 0.000 0.500
# Distance to the lowest polymorph of the same formula in kcal/mol of atoms: 10.62
# Total magnetization in Bohr magnetons per cell: 0.00

***

# 15
# Cd2SbPt | Alexandria via LeMat-Bulk | GGA-PBE | relaxed
data_Cd2SbPt
_cell_length_a 4.304
_cell_length_b 4.304
_cell_length_c 4.486
_cell_angle_alpha 90.00
_cell_angle_beta 90.00
_cell_angle_gamma 90.00
_space_group_name_H-M_alt 'P 4/m m m'
_space_group_IT_number 123
_space_group_name_Hall '-P 4 2'
loop_
_atom_site_label
_atom_site_type_symbol
_atom_site_fract_x
_atom_site_fract_y
_atom_site_fract_z
Cd1 Cd 0.000 0.500 0.000
Sb1 Sb 0.000 0.000 0.500
Pt1 Pt 0.500 0.500 0.500
# Total magnetization in Bohr magnetons per cell: 0.00

***

# 16
# Cd2SbPt | Alexandria via LeMat-Bulk | GGA-PBE | relaxed
data_Cd2SbPt
_cell_length_a 3.131
_cell_length_b 3.131
_cell_length_c 8.865
_cell_angle_alpha 90.00
_cell_angle_beta 90.00
_cell_angle_gamma 90.00
_space_group_name_H-M_alt 'P 4/m m m'
_space_group_IT_number 123
_space_group_name_Hall '-P 4 2'
loop_
_atom_site_label
_atom_site_type_symbol
_atom_site_fract_x
_atom_site_fract_y
_atom_site_fract_z
Cd1 Cd 0.000 0.000 0.205
Sb1 Sb 0.500 0.500 0.500
Pt1 Pt 0.500 0.500 0.000
# Total magnetization in Bohr magnetons per cell: 0.00

***

# 17
# Cd4SbPt | Alexandria via LeMat-Bulk | GGA-PBE | relaxed
data_Cd4SbPt
_cell_length_a 8.052
_cell_length_b 8.052
_cell_length_c 8.052
_cell_angle_alpha 90.00
_cell_angle_beta 90.00
_cell_angle_gamma 90.00
_space_group_name_H-M_alt 'F -4 3 m'
_space_group_IT_number 216
_space_group_name_Hall 'F -4 2 3'
loop_
_atom_site_label
_atom_site_type_symbol
_atom_site_fract_x
_atom_site_fract_y
_atom_site_fract_z
Cd1 Cd 0.124 0.124 0.124
Sb1 Sb 0.000 0.000 0.500
Pt1 Pt 0.250 0.250 0.750
# Total magnetization in Bohr magnetons per cell: 0.00

***

# 18
# Cd2SbPt | Alexandria via LeMat-Bulk | GGA-PBE | relaxed
data_Cd2SbPt
_cell_length_a 3.7761
_cell_length_b 3.7761
_cell_length_c 23.4641
_cell_angle_alpha 90.00
_cell_angle_beta 90.00
_cell_angle_gamma 120.00
_space_group_name_H-M_alt 'R 3 m'
_space_group_IT_number 160
_space_group_name_Hall 'R 3 -2"'
loop_
_atom_site_label
_atom_site_type_symbol
_atom_site_fract_x
_atom_site_fract_y
_atom_site_fract_z
Cd1 Cd 0.0000 0.0000 0.0000
Cd2 Cd 0.0000 0.0000 0.2436
Sb1 Sb 0.0000 0.0000 0.4734
Pt1 Pt 0.0000 0.0000 0.7441
# Total magnetization in Bohr magnetons per cell: 0.00

***

# 19
# CdSbPt2 | Alexandria via LeMat-Bulk | GGA-PBE | relaxed
data_CdSbPt2
_cell_length_a 9.548
_cell_length_b 3.674
_cell_length_c 4.473
_cell_angle_alpha 90.00
_cell_angle_beta 106.13
_cell_angle_gamma 90.00
_space_group_name_H-M_alt 'C 1 m 1'
_space_group_IT_number 8
loop_
_space_group_symop_operation_xyz
'x,y,z'
'x,-y,z'
'x+1/2,y+1/2,z'
'x+1/2,-y+1/2,z'
loop_
_atom_site_label
_atom_site_type_symbol
_atom_site_fract_x
_atom_site_fract_y
_atom_site_fract_z
Cd1 Cd 0.000 0.000 0.000
Sb1 Sb 0.264 0.500 0.358
Pt1 Pt 0.258 0.000 0.840
Pt2 Pt 0.497 0.000 0.498
# Distance to the lowest polymorph of the same formula in kcal/mol of atoms: 3.99
# Total magnetization in Bohr magnetons per cell: 0.00

***

# 20
# Cd2SbPt | Alexandria via LeMat-Bulk | GGA-PBE | relaxed
data_Cd2SbPt
_cell_length_a 3.102
_cell_length_b 3.493
_cell_length_c 8.200
_cell_angle_alpha 90.00
_cell_angle_beta 90.00
_cell_angle_gamma 90.00
_space_group_name_H-M_alt 'P m m 2'
_space_group_IT_number 25
loop_
_space_group_symop_operation_xyz
'x,y,z'
'-x,-y,z'
'-x,y,z'
'x,-y,z'
loop_
_atom_site_label
_atom_site_type_symbol
_atom_site_fract_x
_atom_site_fract_y
_atom_site_fract_z
Cd1 Cd 0.000 0.000 0.000
Cd2 Cd 0.500 0.500 0.253
Sb1 Sb 0.500 0.500 0.667
Pt1 Pt 0.000 0.000 0.477
# Total magnetization in Bohr magnetons per cell: 0.00

***

Number 1: E_form (uncorrected) -0.218 eV/atom. Number 2: E_form (uncorrected) 0.035 eV/atom. Number 3: E_form (uncorrected) -0.229 eV/atom. Number 4: E_form (uncorrected) -0.193 eV/atom. Number 5: E_form (uncorrected) 0.034 eV/atom. Number 6: E_form (uncorrected) -0.007 eV/atom. Number 7: E_form (uncorrected) -0.186 eV/atom. Number 8: E_form (uncorrected) -0.217 eV/atom. Number 9: E_form (uncorrected) -0.129 eV/atom. Number 10: E_form (uncorrected) -0.077 eV/atom. Number 11: E_form (uncorrected) -0.113 eV/atom. Number 12: E_form (uncorrected) -0.007 eV/atom. Number 13: E_form (uncorrected) -0.388 eV/atom. Number 14: E_form (uncorrected) 1.040 eV/atom. Number 15: E_form (uncorrected) -0.039 eV/atom. Number 16: E_form (uncorrected) -0.075 eV/atom. Number 17: E_form (uncorrected) 0.199 eV/atom. Number 18: E_form (uncorrected) -0.108 eV/atom. Number 19: E_form (uncorrected) -0.215 eV/atom. Number 20: E_form (uncorrected) -0.111 eV/atom.